A relaxed CsNaCrF6 crystal, computed with PBE with a Hubbard U.

Values from the calculation:
V	179.02	Å³/f.u.

abc: 5.7591 5.7591 12.4651
angles: 90.00 90.00 120.00
Space group P-31c (No. 163)
Inequivalent atoms, fractional coordinates:
Cs 0.0000 0.0000 0.0000
Na 0.3333 0.6667 0.2500
Cr 0.3333 0.6667 0.7500
F 0.0617 0.4082 0.6640

***

A relaxed Cs3Na3CrF8 crystal, computed with PBE with a Hubbard U.

Values from the calculation:
V	301.32	Å³/f.u.

abc: 12.755 7.152 7.851
angles: 90.00 122.71 90.00
Space group C2/m (No. 12)
Inequivalent atoms, fractional coordinates:
Cs 0.000 0.000 0.000
Cs 0.250 0.250 0.000
Na 0.000 0.500 0.500
Na 0.250 0.250 0.500
Cr 0.000 0.000 0.500
F 0.015 0.210 0.334
F 0.226 0.500 0.685
F 0.233 0.000 0.691

***

A relaxed Cs2NbCrF6 crystal, computed with PBE with a Hubbard U.

Values from the calculation:
V	178.30	Å³/f.u.

abc: 6.154 6.154 9.417
angles: 90.00 90.00 90.00
Space group I4/mmm (No. 139)
Inequivalent atoms, fractional coordinates:
Cs 0.000 0.500 0.250
Nb 0.000 0.000 0.000
Cr 0.000 0.000 0.500
F 0.000 0.000 0.238
F 0.237 0.237 0.500

***

A relaxed CsNdCrF6 crystal, computed with PBE with a Hubbard U.

Values from the calculation:
V	196.46	Å³/f.u.

abc: 8.439 8.440 11.033
angles: 90.00 90.00 90.00
Space group Imma (No. 74)
Inequivalent atoms, fractional coordinates:
Cs 0.000 0.250 0.180
Nd 0.250 0.250 0.750
Cr 0.000 0.000 0.500
F 0.000 0.250 0.433
F 0.000 0.250 0.839
F 0.174 0.045 0.629

***

A relaxed CsCrNiF6 crystal, computed with PBE with a Hubbard U.

Values from the calculation:
energy above the most stable polymorph in this dataset	3049	meV/atom
V	161.40	Å³/f.u.

abc: 5.356 9.213 6.541
angles: 90.00 90.42 90.00
Space group C2 (No. 5)
Inequivalent atoms, fractional coordinates:
Cs 0.000 0.000 0.000
Cr 0.000 0.667 0.500
Ni 0.000 0.333 0.500
F 0.125 0.506 0.666
F 0.181 0.809 0.666
F 0.201 0.185 0.667

***

A relaxed CsCrNiF6 crystal, computed with PBE with a Hubbard U.

Values from the calculation:
energy above the most stable polymorph in this dataset	0	meV/atom
V	139.78	Å³/f.u.

abc: 7.199 7.429 10.455
angles: 90.00 90.00 90.00
Space group Imma (No. 74)
Inequivalent atoms, fractional coordinates:
Cs 0.000 0.250 0.120
Cr 0.000 0.000 0.500
Ni 0.250 0.250 0.750
F 0.000 0.250 0.440
F 0.000 0.250 0.828
F 0.188 0.050 0.624

***

A relaxed Cs2CrNiF6 crystal, computed with PBE with a Hubbard U.

Values from the calculation:
V	164.77	Å³/f.u.

abc: 6.061 6.061 8.972
angles: 90.00 90.00 90.00
Space group I4/mmm (No. 139)
Inequivalent atoms, fractional coordinates:
Cs 0.000 0.500 0.250
Cr 0.000 0.000 0.000
Ni 0.000 0.000 0.500
F 0.000 0.000 0.272
F 0.248 0.248 0.500

***

A relaxed Cs2NpCr3F12 crystal, computed with PBE with a Hubbard U.

Values from the calculation:
V	320.57	Å³/f.u.

abc: 7.9788 7.9788 17.4434
angles: 90.00 90.00 120.00
Space group R-3m (No. 166, hexagonal axes)
Inequivalent atoms, fractional coordinates:
Cs 0.0000 0.0000 0.1127
Np 0.0000 0.0000 0.5000
Cr 0.0000 0.5000 0.0000
F 0.0183 0.5091 0.1151
F 0.0873 0.5436 0.3283

***

Calculated final energy in order - -0.1834 -0.1668 -0.2023 -0.2180 -0.1823 -0.2943 -0.1739 -0.2268 hartree per atom